1.
Computed, not measured: an optimized crystal structure of Sr2TlHg2 at the PBE level of DFT.

Output
- SG = P4/mnc (128)
- energy relative to the lowest polymorph listed for this composition (eV/atom) = 0.003

a = 8.682 Å, b = 8.682 Å, c = 8.654 Å
α = 90.00°, β = 90.00°, γ = 90.00°
Sites, in units of the cell vectors:
Sr 0.675 0.823 0.500
Sr 0.325 0.177 0.500
Sr 0.825 0.323 0.000
Sr 0.175 0.677 0.000
Sr 0.823 0.325 0.500
Sr 0.177 0.675 0.500
Sr 0.323 0.175 0.000
Sr 0.677 0.825 0.000
Tl 0.500 0.500 0.233
Tl 0.000 0.000 0.733
Tl 0.500 0.500 0.767
Tl 0.000 0.000 0.267
Hg 0.376 0.876 0.250
Hg 0.624 0.124 0.250
Hg 0.124 0.376 0.750
Hg 0.876 0.624 0.750
Hg 0.876 0.624 0.250
Hg 0.124 0.376 0.250
Hg 0.376 0.876 0.750
Hg 0.624 0.124 0.750

---

2.
Computed, not measured: an optimized crystal structure of Sm2HoSn2Rh5 at the PBE level of DFT.

Output
- SG = P4/mbm (127)

a = 3.820 Å, b = 10.316 Å, c = 10.316 Å
α = 90.00°, β = 90.00°, γ = 90.00°
Sites, in units of the cell vectors:
Sm 0.000 0.672 0.172
Sm 0.000 0.328 0.828
Sm 0.000 0.172 0.328
Sm 0.000 0.828 0.672
Ho 0.000 0.000 0.000
Ho 0.000 0.500 0.500
Sn 0.000 0.126 0.626
Sn 0.000 0.874 0.374
Sn 0.000 0.626 0.874
Sn 0.000 0.374 0.126
Rh 0.500 0.207 0.065
Rh 0.500 0.793 0.935
Rh 0.500 0.065 0.793
Rh 0.500 0.707 0.435
Rh 0.500 0.935 0.207
Rh 0.500 0.293 0.565
Rh 0.500 0.565 0.707
Rh 0.500 0.435 0.293
Rh 0.500 0.500 0.000
Rh 0.500 0.000 0.500

---

Going through the records in order, we get energy of formation values of -0.4403 -0.6409 eV per atom.